Compound: Ta2As
Source: Alexandria via LeMat-Bulk
Functional: PBE
Structure: optimized geometry

Output
calculated formation energy: -399.6 meV per atom
uncorrected energy: -9.8512 eV/atom
space group: Pnnm, No. 58

Unit cell a=11.9470 b=14.9212 c=3.4849 alpha=90.00 beta=90.00 gamma=90.00
Fractional positions:
Ta 0.0275 0.1094 0.0000
Ta 0.0818 0.7430 0.5000
Ta 0.0861 0.5793 0.0000
Ta 0.1147 0.4277 0.5000
Ta 0.1415 0.9772 0.5000
Ta 0.1938 0.2025 0.5000
Ta 0.3062 0.7025 0.0000
Ta 0.3585 0.4772 0.0000
Ta 0.3853 0.9277 0.0000
Ta 0.4139 0.0793 0.5000
Ta 0.4182 0.2430 0.0000
Ta 0.4725 0.6094 0.5000
Ta 0.5275 0.3906 0.5000
Ta 0.5818 0.7570 0.0000
Ta 0.5861 0.9207 0.5000
Ta 0.6147 0.0723 0.0000
Ta 0.6415 0.5228 0.0000
Ta 0.6938 0.2975 0.0000
Ta 0.8062 0.7975 0.5000
Ta 0.8585 0.0228 0.5000
Ta 0.8853 0.5723 0.5000
Ta 0.9139 0.4207 0.0000
Ta 0.9182 0.2570 0.5000
Ta 0.9725 0.8906 0.0000
As 0.0783 0.2958 0.0000
As 0.1890 0.8487 0.0000
As 0.2470 0.5806 0.5000
As 0.2530 0.0806 0.0000
As 0.3110 0.3487 0.5000
As 0.4217 0.7958 0.5000
As 0.5783 0.2042 0.5000
As 0.6890 0.6513 0.5000
As 0.7470 0.9194 0.0000
As 0.7530 0.4194 0.5000
As 0.8110 0.1513 0.0000
As 0.9217 0.7042 0.0000

---

Compound: Cd2TcTe
Source: Alexandria via LeMat-Bulk
Functional: PBE
Structure: optimized geometry

Output
ΔE_f (raw): 0.472 eV/atom
uncorrected energy: -3.3622 eV/atom
space group: C2/m, No. 12

Unit cell a=5.7120 b=10.8210 c=3.3297 alpha=90.00 beta=124.17 gamma=90.00
Fractional positions:
Cd 0.2500 0.2500 0.0000
Cd 0.2500 0.7500 0.0000
Cd 0.7500 0.2500 0.0000
Cd 0.7500 0.7500 0.0000
Tc 0.0000 0.0000 0.0000
Tc 0.5000 0.5000 0.0000
Te 0.0000 0.5000 0.0000
Te 0.5000 0.0000 0.0000

---

Compound: TlZn2Re
Source: Alexandria via LeMat-Bulk
Functional: PBE
Structure: optimized geometry

Output
calculated formation energy: 533.7 meV per atom
E above lowest polymorph: 0.062 eV/atom
uncorrected energy: -3.8069 eV/atom
space group: Imm2, No. 44

Unit cell a=3.8333 b=3.8572 c=8.9679 alpha=90.00 beta=90.00 gamma=90.00
Fractional positions:
Tl 0.0000 0.0000 0.0000
Tl 0.5000 0.5000 0.5000
Zn 0.0000 0.0000 0.5010
Zn 0.0000 0.5000 0.7507
Zn 0.5000 0.0000 0.2507
Zn 0.5000 0.5000 0.0010
Re 0.0000 0.5000 0.2496
Re 0.5000 0.0000 0.7496